First-principles (SCAN) data for a PBEsol-optimized structure of RbBeInI2, as listed in Alexandria via LeMat-Bulk.

Output
Its formation energy without anion corrections is 0.142 eV/atom. As for the symmetry: P4/mmm (123).

Lattice parameters (Å, degrees): 5.3023 5.3023 6.0391 90.00 90.00 90.00
Element x y z (fractional)
1 Rb 0.0000 0.0000 0.0000
2 Be 0.0000 0.0000 0.5000
3 In 0.5000 0.5000 0.0000
4 I 0.0000 0.5000 0.5000
5 I 0.5000 0.0000 0.5000

***

First-principles (SCAN) data for a PBEsol-optimized structure of LaCo2Ru, as listed in Alexandria via LeMat-Bulk.

Output
The value obtained for the energy of formation from the pure elements is -0.15 eV/f.u. As for the symmetry: R-3m (166).

Lattice parameters (Å, degrees): 5.4296 5.4296 5.4296 44.62 44.62 44.62
Element x y z (fractional)
1 La 0.0000 0.0000 0.0000
2 Co 0.1882 0.1882 0.1882
3 Co 0.8118 0.8118 0.8118
4 Ru 0.5000 0.5000 0.5000

***

First-principles (SCAN) data for a PBEsol-optimized structure of ZnCrCd2, as listed in Alexandria via LeMat-Bulk.

Output
The value obtained for the energy of formation from the pure elements is 0.57 eV/f.u. As for the symmetry: Pmmm (47).

Lattice parameters (Å, degrees): 3.0364 3.9188 5.8796 90.00 90.00 90.00
Element x y z (fractional)
1 Zn 0.0000 0.0000 0.0000
2 Cr 0.0000 0.0000 0.5000
3 Cd 0.5000 0.5000 0.2507
4 Cd 0.5000 0.5000 0.7493

***

First-principles (SCAN) data for a PBEsol-optimized structure of Sr2Cu3O5, as listed in Alexandria via LeMat-Bulk.

Output
Its formation energy without anion corrections is -1.703 eV/atom. As for the symmetry: Cmmm (65). The energy above the most stable polymorph in this dataset comes out at 0.0000 eV/atom.

Lattice parameters (Å, degrees): 9.8410 9.8410 3.4493 90.00 90.00 157.21
Element x y z (fractional)
1 Sr 0.1010 0.8990 0.0000
2 Sr 0.8990 0.1010 0.0000
3 Cu 0.3012 0.6988 0.5000
4 Cu 0.5000 0.5000 0.5000
5 Cu 0.6988 0.3012 0.5000
6 O 0.0000 0.0000 0.5000
7 O 0.2032 0.7968 0.5000
8 O 0.3987 0.6013 0.5000
9 O 0.6013 0.3987 0.5000
10 O 0.7968 0.2032 0.5000

***

First-principles (SCAN) data for a PBEsol-optimized structure of CoAsSe2N, as listed in Alexandria via LeMat-Bulk.

Output
Its formation energy without anion corrections is 1.103 eV/atom. As for the symmetry: P4/mmm (123).

Lattice parameters (Å, degrees): 4.1874 4.1874 4.3059 90.00 90.00 90.00
Element x y z (fractional)
1 Co 0.0000 0.0000 0.0000
2 As 0.5000 0.5000 0.0000
3 Se 0.0000 0.5000 0.5000
4 Se 0.5000 0.0000 0.5000
5 N 0.5000 0.5000 0.5000

***

First-principles (SCAN) data for a PBEsol-optimized structure of CrIr, as listed in Alexandria via LeMat-Bulk.

Output
The value obtained for the energy of formation from the pure elements is -0.37 eV/f.u. As for the symmetry: P-6m2 (187).

Lattice parameters (Å, degrees): 2.6574 2.6574 4.1646 90.00 90.00 120.00
Element x y z (fractional)
1 Cr 0.0000 0.0000 0.0000
2 Ir 0.3333 0.6667 0.5000

***

First-principles (SCAN) data for a PBEsol-optimized structure of CaIr3Br, as listed in Alexandria via LeMat-Bulk.

Output
Its formation energy without anion corrections is 2.727 eV/atom. As for the symmetry: Pm-3m (221).

Lattice parameters (Å, degrees): 4.8445 4.8445 4.8445 90.00 90.00 90.00
Element x y z (fractional)
1 Ca 0.0000 0.0000 0.0000
2 Ir 0.0000 0.0000 0.5000
3 Ir 0.0000 0.5000 0.0000
4 Ir 0.5000 0.0000 0.0000
5 Br 0.5000 0.5000 0.5000

***

First-principles (SCAN) data for a PBEsol-optimized structure of Ba2CaPt, as listed in Alexandria via LeMat-Bulk.

Output
The value obtained for the energy of formation from the pure elements is -0.33 eV/f.u. As for the symmetry: I-4m2 (119). The energy above the most stable polymorph in this dataset comes out at 0.4429 eV/atom.

Lattice parameters (Å, degrees): 6.6154 6.6154 6.6154 137.65 137.65 61.44
Element x y z (fractional)
1 Ba 0.0000 0.0000 0.0000
2 Ba 0.7500 0.2500 0.5000
3 Ca 0.5000 0.5000 0.0000
4 Pt 0.2500 0.7500 0.5000

***

First-principles (SCAN) data for a PBEsol-optimized structure of Cu2Pt, as listed in Alexandria via LeMat-Bulk.

Output
The value obtained for the energy of formation from the pure elements is -0.43 eV/f.u. As for the symmetry: Immm (71). The energy above the most stable polymorph in this dataset comes out at 0.0217 eV/atom.

Lattice parameters (Å, degrees): 6.9202 6.9202 6.9202 149.25 114.29 74.29
Element x y z (fractional)
1 Cu 0.0000 0.0000 0.0000
2 Cu 0.0825 0.8320 0.2505
3 Cu 0.3336 0.3336 0.0000
4 Cu 0.4186 0.1680 0.2505
5 Cu 0.5000 0.0000 0.5000
6 Cu 0.5814 0.8320 0.7495
7 Cu 0.6664 0.6664 0.0000
8 Cu 0.9175 0.1680 0.7495
9 Pt 0.1712 0.6712 0.5000
10 Pt 0.2593 0.5000 0.7593
11 Pt 0.7407 0.5000 0.2407
12 Pt 0.8288 0.3288 0.5000

***

First-principles (SCAN) data for a PBEsol-optimized structure of AlRuRh2, as listed in Alexandria via LeMat-Bulk.

Output
The value obtained for the energy of formation from the pure elements is -1.95 eV/f.u. As for the symmetry: I4/mmm (139).

Lattice parameters (Å, degrees): 4.6020 4.6020 4.6020 131.38 131.38 71.21
Element x y z (fractional)
1 Al 0.0000 0.0000 0.0000
2 Ru 0.5000 0.5000 0.0000
3 Rh 0.2500 0.7500 0.5000
4 Rh 0.7500 0.2500 0.5000

***

First-principles (SCAN) data for a PBEsol-optimized structure of PrIn5Rh, as listed in Alexandria via LeMat-Bulk.

Output
The value obtained for the energy of formation from the pure elements is -3.96 eV/f.u. As for the symmetry: P4/mmm (123).

Lattice parameters (Å, degrees): 4.6215 4.6215 7.4988 90.00 90.00 90.00
Element x y z (fractional)
1 Pr 0.0000 0.0000 0.0000
2 In 0.0000 0.5000 0.3047
3 In 0.0000 0.5000 0.6953
4 In 0.5000 0.0000 0.3047
5 In 0.5000 0.0000 0.6953
6 In 0.5000 0.5000 0.0000
7 Rh 0.0000 0.0000 0.5000

***

First-principles (SCAN) data for a PBEsol-optimized structure of LiCd2Pt, as listed in Alexandria via LeMat-Bulk.

Output
The value obtained for the energy of formation from the pure elements is -0.86 eV/f.u. As for the symmetry: R-3m (166). The energy above the most stable polymorph in this dataset comes out at 0.2749 eV/atom.

Lattice parameters (Å, degrees): 9.3639 9.3639 9.3639 18.08 18.08 18.08
Element x y z (fractional)
1 Li 0.0000 0.0000 0.0000
2 Cd 0.2494 0.2494 0.2494
3 Cd 0.7506 0.7506 0.7506
4 Pt 0.5000 0.5000 0.5000

***

First-principles (SCAN) data for a PBEsol-optimized structure of YTl3Mo, as listed in Alexandria via LeMat-Bulk.

Output
The value obtained for the energy of formation from the pure elements is 6.16 eV/f.u. As for the symmetry: Pm-3m (221).

Lattice parameters (Å, degrees): 5.6507 5.6507 5.6507 90.00 90.00 90.00
Element x y z (fractional)
1 Y 0.0000 0.0000 0.0000
2 Tl 0.0000 0.0000 0.5000
3 Tl 0.0000 0.5000 0.0000
4 Tl 0.5000 0.0000 0.0000
5 Mo 0.5000 0.5000 0.5000

***

First-principles (SCAN) data for a PBEsol-optimized structure of ScSi2Hg, as listed in Alexandria via LeMat-Bulk.

Output
Its formation energy without anion corrections is 0.109 eV/atom. As for the symmetry: I-42d (122).

Lattice parameters (Å, degrees): 5.8973 5.8973 5.8973 103.67 103.67 121.81
Element x y z (fractional)
1 Sc 0.0000 0.0000 0.0000
2 Sc 0.7500 0.2500 0.5000
3 Si 0.1462 0.6250 0.0212
4 Si 0.3750 0.3962 0.5212
5 Si 0.6038 0.1250 0.9788
6 Si 0.8750 0.8538 0.4788
7 Hg 0.2500 0.7500 0.5000
8 Hg 0.5000 0.5000 0.0000

***

First-principles (SCAN) data for a PBEsol-optimized structure of PrNb5O14, as listed in Alexandria via LeMat-Bulk.

Output
Its formation energy without anion corrections is -2.903 eV/atom. As for the symmetry: Pmmn (59).

Lattice parameters (Å, degrees): 7.7436 20.2029 6.2917 90.00 90.00 90.00
Element x y z (fractional)
1 Pr 0.2500 0.0129 0.0469
2 Pr 0.2500 0.4871 0.0469
3 Pr 0.7500 0.5129 0.9531
4 Pr 0.7500 0.9871 0.9531
5 Nb 0.0010 0.2500 0.5087
6 Nb 0.0024 0.0769 0.5958
7 Nb 0.0024 0.4231 0.5958
8 Nb 0.0017 0.6555 0.9412
9 Nb 0.0017 0.8445 0.9412
10 Nb 0.4976 0.0769 0.5958
11 Nb 0.4976 0.4231 0.5958
12 Nb 0.4983 0.6555 0.9412
13 Nb 0.4983 0.8445 0.9412
14 Nb 0.4990 0.2500 0.5087
15 Nb 0.5010 0.7500 0.4913
16 Nb 0.5017 0.1555 0.0588
17 Nb 0.5017 0.3445 0.0588
18 Nb 0.5024 0.5769 0.4042
19 Nb 0.5024 0.9231 0.4042
20 Nb 0.9983 0.1555 0.0588
21 Nb 0.9983 0.3445 0.0588
22 Nb 0.9976 0.5769 0.4042
23 Nb 0.9976 0.9231 0.4042
24 Nb 0.9990 0.7500 0.4913
25 O 0.0052 0.1531 0.3927
26 O 0.0052 0.3469 0.3927
27 O 0.0056 0.1846 0.7672
28 O 0.0056 0.3154 0.7672
29 O 0.0122 0.2500 0.1580
30 O 0.0165 0.5660 0.0717
31 O 0.0165 0.9340 0.0717
32 O 0.0392 0.0269 0.3356
33 O 0.0392 0.4731 0.3356
34 O 0.2500 0.0690 0.6754
35 O 0.2500 0.1331 0.0909
36 O 0.2500 0.2500 0.4987
37 O 0.2500 0.3669 0.0909
38 O 0.2500 0.4310 0.6754
39 O 0.2500 0.5790 0.3811
40 O 0.2500 0.6479 0.9038
41 O 0.2500 0.7500 0.5054
42 O 0.2500 0.8521 0.9038
43 O 0.2500 0.9210 0.3811
44 O 0.4608 0.0269 0.3356
45 O 0.4608 0.4731 0.3356
46 O 0.4835 0.5660 0.0717
47 O 0.4835 0.9340 0.0717
48 O 0.4878 0.2500 0.1580
49 O 0.4944 0.1846 0.7672
50 O 0.4944 0.3154 0.7672
51 O 0.4948 0.1531 0.3927
52 O 0.4948 0.3469 0.3927
53 O 0.5052 0.6531 0.6073
54 O 0.5052 0.8469 0.6073
55 O 0.5056 0.6846 0.2328
56 O 0.5056 0.8154 0.2328
57 O 0.5122 0.7500 0.8420
58 O 0.5165 0.0660 0.9283
59 O 0.5165 0.4340 0.9283
60 O 0.5392 0.5269 0.6644
61 O 0.5392 0.9731 0.6644
62 O 0.7500 0.0790 0.6189
63 O 0.7500 0.1479 0.0962
64 O 0.7500 0.2500 0.4946
65 O 0.7500 0.3521 0.0962
66 O 0.7500 0.4210 0.6189
67 O 0.7500 0.5690 0.3246
68 O 0.7500 0.6331 0.9091
69 O 0.7500 0.7500 0.5013
70 O 0.7500 0.8669 0.9091
71 O 0.7500 0.9310 0.3246
72 O 0.9608 0.5269 0.6644
73 O 0.9608 0.9731 0.6644
74 O 0.9835 0.0660 0.9283
75 O 0.9835 0.4340 0.9283
76 O 0.9878 0.7500 0.8420
77 O 0.9944 0.6846 0.2328
78 O 0.9944 0.8154 0.2328
79 O 0.9948 0.6531 0.6073
80 O 0.9948 0.8469 0.6073

***

First-principles (SCAN) data for a PBEsol-optimized structure of Ti3CoCu2P6O24, as listed in Alexandria via LeMat-Bulk.

Output
Its formation energy without anion corrections is -2.416 eV/atom. As for the symmetry: R3 (146).

Lattice parameters (Å, degrees): 8.4454 8.4454 8.4454 60.81 60.81 60.81
Element x y z (fractional)
1 Ti 0.0000 0.0000 0.0000
2 Ti 0.2161 0.2161 0.2161
3 Ti 0.7152 0.7152 0.7152
4 Co 0.4993 0.4993 0.4993
5 Cu 0.3590 0.3590 0.3590
6 Cu 0.8584 0.8584 0.8584
7 P 0.1093 0.8130 0.4008
8 P 0.3153 0.6055 0.8977
9 P 0.4008 0.1093 0.8130
10 P 0.6055 0.8977 0.3153
11 P 0.8130 0.4008 0.1093
12 P 0.8977 0.3153 0.6055
13 O 0.0347 0.8670 0.2411
14 O 0.0943 0.3074 0.4412
15 O 0.1177 0.7674 0.9239
16 O 0.1716 0.9784 0.3561
17 O 0.2411 0.0347 0.8670
18 O 0.2720 0.6204 0.4056
19 O 0.3074 0.4412 0.0943
20 O 0.3483 0.5447 0.7400
21 O 0.3561 0.1716 0.9784
22 O 0.4056 0.2720 0.6204
23 O 0.4412 0.0943 0.3074
24 O 0.4776 0.6736 0.8514
25 O 0.5447 0.7400 0.3483
26 O 0.5976 0.9469 0.7978
27 O 0.6204 0.4056 0.2720
28 O 0.6736 0.8514 0.4776
29 O 0.7400 0.3483 0.5447
30 O 0.7674 0.9239 0.1177
31 O 0.7978 0.5976 0.9469
32 O 0.8514 0.4776 0.6736
33 O 0.8670 0.2411 0.0347
34 O 0.9239 0.1177 0.7674
35 O 0.9469 0.7978 0.5976
36 O 0.9784 0.3561 0.1716

***

First-principles (SCAN) data for a PBEsol-optimized structure of ScAs2Br, as listed in Alexandria via LeMat-Bulk.

Output
Its formation energy without anion corrections is -0.097 eV/atom. As for the symmetry: P4/mmm (123).

Lattice parameters (Å, degrees): 5.0292 5.0292 3.1338 90.00 90.00 90.00
Element x y z (fractional)
1 Sc 0.0000 0.0000 0.0000
2 As 0.0000 0.5000 0.5000
3 As 0.5000 0.0000 0.5000
4 Br 0.5000 0.5000 0.0000

***

First-principles (SCAN) data for a PBEsol-optimized structure of Ca5Mg3, as listed in Alexandria via LeMat-Bulk.

Output
The value obtained for the energy of formation from the pure elements is -0.26 eV/f.u. As for the symmetry: I4/mcm (140). The energy above the most stable polymorph in this dataset comes out at 0.0000 eV/atom.

Lattice parameters (Å, degrees): 9.7111 9.7111 9.7111 96.19 96.19 141.65
Element x y z (fractional)
1 Ca 0.0787 0.7792 0.8579
2 Ca 0.2208 0.0787 0.2995
3 Ca 0.2500 0.7500 0.5000
4 Ca 0.2792 0.5787 0.8579
5 Ca 0.4213 0.2792 0.7005
6 Ca 0.5787 0.7208 0.2995
7 Ca 0.7208 0.4213 0.1421
8 Ca 0.7500 0.2500 0.5000
9 Ca 0.7792 0.9213 0.7005
10 Ca 0.9213 0.2208 0.1421
11 Mg 0.1654 0.3346 0.5000
12 Mg 0.2500 0.2500 0.0000
13 Mg 0.3346 0.8346 0.1692
14 Mg 0.6654 0.1654 0.8308
15 Mg 0.7500 0.7500 0.0000
16 Mg 0.8346 0.6654 0.5000

***

First-principles (SCAN) data for a PBEsol-optimized structure of CeMg2H7, as listed in Alexandria via LeMat-Bulk.

Output
As for the symmetry: P4_12_12 (92). As for the total DFT energy (no corrections): -0.6080 Ry per atom.

Lattice parameters (Å, degrees): 6.1941 6.1941 9.2525 90.00 90.00 90.00
Element x y z (fractional)
1 Ce 0.2303 0.2303 0.0000
2 Ce 0.2697 0.7303 0.2500
3 Ce 0.7303 0.2697 0.7500
4 Ce 0.7697 0.7697 0.5000
5 Mg 0.0259 0.7376 0.9002
6 Mg 0.2376 0.4741 0.6502
7 Mg 0.2624 0.9741 0.5998
8 Mg 0.4741 0.2376 0.3498
9 Mg 0.5259 0.7624 0.8498
10 Mg 0.7376 0.0259 0.0998
11 Mg 0.7624 0.5259 0.1502
12 Mg 0.9741 0.2624 0.4002
13 H 0.0355 0.9591 0.3787
14 H 0.0409 0.9645 0.1213
15 H 0.0599 0.4202 0.8228
16 H 0.0798 0.5599 0.0728
17 H 0.1520 0.6930 0.4984
18 H 0.1930 0.3480 0.2484
19 H 0.2423 0.7577 0.7500
20 H 0.2577 0.2577 0.5000
21 H 0.3070 0.8480 0.0016
22 H 0.3480 0.1930 0.7516
23 H 0.4202 0.0599 0.1772
24 H 0.4401 0.9202 0.4272
25 H 0.4591 0.4645 0.1287
26 H 0.4645 0.4591 0.8713
27 H 0.5355 0.5409 0.3713
28 H 0.5409 0.5355 0.6287
29 H 0.5599 0.0798 0.9272
30 H 0.5798 0.9401 0.6772
31 H 0.6520 0.8070 0.2516
32 H 0.6930 0.1520 0.5016
33 H 0.7423 0.7423 0.0000
34 H 0.7577 0.2423 0.2500
35 H 0.8070 0.6520 0.7484
36 H 0.8480 0.3070 0.9984
37 H 0.9202 0.4401 0.5728
38 H 0.9401 0.5798 0.3228
39 H 0.9591 0.0355 0.6213
40 H 0.9645 0.0409 0.8787

***

First-principles (SCAN) data for a PBEsol-optimized structure of MnAsPb, as listed in Alexandria via LeMat-Bulk.

Output
The value obtained for the energy of formation from the pure elements is -0.29 eV/f.u. As for the symmetry: I4mm (107).

Lattice parameters (Å, degrees): 6.0681 6.0681 6.0681 148.85 148.85 44.63
Element x y z (fractional)
1 Mn 0.0000 0.0000 0.0000
2 As 0.4165 0.4165 0.0000
3 Pb 0.6904 0.6904 0.0000

***

| no. | theoretical density (Mg/m³) | Fermi-level density of states (states/eV per atom) |
| --- | --- | --- |
| 1 | 4.5 | 0.6848 |
| 2 | 8.3 | 0.6976 |
| 3 | 8.1 | 0.3655 |
| 4 | 5.7 | 0.2126 |
| 5 | 6.7 | 0.6056 |
| 6 | 15.9 | 0.8204 |
| 7 | 10.2 | 0.8066 |
| 8 | 6.5 | 0.9317 |
| 9 | 14.1 | 0.3597 |
| 10 | 10.3 | 0.8676 |
| 11 | 8.5 | 0.2734 |
| 12 | 10.3 | 0.3459 |
| 13 | 7.3 | 0.9036 |
| 14 | 6.6 | 0.5902 |
| 15 | 5.6 | 0.0000 |
| 16 | 3.4 | 0.4076 |
| 17 | 5.8 | 0.4070 |
| 18 | 1.7 | 0.8343 |
| 19 | 3.7 | 0.0967 |
| 20 | 9.4 | 0.5479 |